Record 1
A relaxed PuZrNiOs crystal. Source: the Alexandria database, functional PBE-GGA.

a = 4.6931 Å, b = 4.6931 Å, c = 4.6931 Å
α = 60.00°, β = 60.00°, γ = 60.00°
With the nearest neighbours (Å) after each atom.
Element x y z (fractional)
Ni: 0.0000 0.0000 0.0000  4 Zr 2.87, 4 Pu 2.87
Zr: 0.2500 0.2500 0.2500  4 Os 2.87, 4 Ni 2.87
Pu: 0.7500 0.7500 0.7500  4 Os 2.87, 4 Ni 2.87
Os: 0.5000 0.5000 0.5000  4 Pu 2.87, 4 Zr 2.87

Calculated values
Final energy ... -10.143 eV per atom
Space group ... F-43m (216)
Spin magnetization ... 5.45 μB per formula unit
Crystal system ... cubic

Record 2
A relaxed Cr2CoMo crystal. Source: the Alexandria database, functional PBE-GGA.

a = 3.0038 Å, b = 4.1461 Å, c = 4.1028 Å
α = 90.00°, β = 90.00°, γ = 90.00°
With the nearest neighbours (Å) after each atom.
Element x y z (fractional)
Cr: 0.5000 0.5000 0.0000  4 Co 2.54, 4 Cr 2.56
Mo: 0.5000 0.0000 0.5000  4 Cr 2.54, 4 Co 2.56
Cr: 0.0000 0.0000 0.0000  4 Mo 2.54, 4 Cr 2.56
Co: 0.0000 0.5000 0.5000  4 Cr 2.54, 4 Mo 2.56

Calculated values
Final energy ... -9.158 eV per atom
Space group ... Pmmm (47)
Spin magnetization ... 2.64 μB per formula unit
Crystal system ... orthorhombic

Record 3
A relaxed TbCuAuO4 crystal. Source: the Alexandria database, functional PBE-GGA.

a = 6.2208 Å, b = 7.1389 Å, c = 7.1415 Å
α = 120.01°, β = 90.00°, γ = 115.83°
With the nearest neighbours (Å) after each atom.
Element x y z (fractional)
Tb: 0.5000 0.0000 0.5000  6 O 2.28-2.36
Cu: 0.0560 0.1119 0.8060  2 O 1.75
O: 0.6872 0.9322 0.2161  1 Cu 1.75
O: 0.2450 0.9322 0.2161  1 Cu 1.75
O: 0.7161 0.4321 0.6472  2 Au 2.06
O: 0.3128 0.0678 0.7839  1 Cu 1.75
Au: 0.0000 0.5000 0.5000  4 O 2.06
O: 0.2839 0.5679 0.7151  2 Au 2.06
O: 0.2839 0.5679 0.3528  2 Au 2.06
O: 0.7161 0.4321 0.2849  2 Au 2.06
Tb: 0.5000 0.0000 0.0000  6 O 2.28-2.36
Au: 0.5000 0.5000 0.5000  4 O 2.06
Cu: 0.9440 0.8881 0.1940  2 O 1.75
O: 0.7550 0.0678 0.7839  1 Cu 1.75

Calculated values
Final energy ... -5.835 eV per atom
Space group ... Imma (74)
Spin magnetization ... 1.02 μB per formula unit
Formation energy from raw total energies ... -9.00 eV per formula unit
Crystal system ... orthorhombic

Record 4
A relaxed Pm5NdDy2Ho crystal. Source: the Alexandria database, functional PBE-GGA.

a = 5.6598 Å, b = 10.5500 Å, c = 10.7364 Å
α = 90.00°, β = 90.00°, γ = 105.56°
With the nearest neighbours (Å) after each atom.
Element x y z (fractional)
Nd: 0.7981 0.5962 0.5091  2 Dy 3.46-3.75, 8 Pm 3.52-3.87, 2 Ho 3.68
Pm: 0.3923 0.7845 0.0251  5 Pm 3.50-3.80, 4 Dy 3.60-3.63, 1 Nd 3.87
Dy: 0.8838 0.7675 0.8182  9 Pm 3.36-3.76, 1 Nd 3.75
Pm: 0.4794 0.9588 0.7419  2 Ho 3.22-3.35, 2 Pm 3.50-3.52, 2 Dy 3.53
Pm: 0.2974 0.5949 0.7041  3 Pm 3.44-3.72, 1 Ho 3.51, 3 Nd 3.52-3.81, 3 Dy 3.55-3.82
Pm: 0.6077 0.2155 0.5251  5 Pm 3.50-3.80, 4 Dy 3.60-3.63, 1 Nd 3.87
Ho: 0.5891 0.1782 0.9577  5 Pm 3.08-3.35
Pm: 0.5206 0.0412 0.2419  2 Ho 3.22-3.35, 2 Pm 3.50-3.52, 2 Dy 3.53
Pm: 0.7185 0.4370 0.8078  1 Ho 3.08, 1 Dy 3.36, 2 Pm 3.44
Pm: 0.7026 0.4051 0.2041  3 Pm 3.44-3.72, 1 Ho 3.51, 3 Nd 3.52-3.81, 3 Dy 3.55-3.82
Dy: 0.8899 0.7797 0.2372  7 Pm 3.46-3.82, 1 Nd 3.46, 2 Ho 3.71
Pm: 0.2815 0.5630 0.3078  1 Ho 3.08, 1 Dy 3.36, 2 Pm 3.44
Pm: 0.0168 0.0335 0.0229  2 Ho 3.27, 3 Dy 3.46-3.61
Ho: 0.4109 0.8218 0.4577  5 Pm 3.08-3.35
Nd: 0.2019 0.4038 0.0091  2 Dy 3.46-3.75, 8 Pm 3.52-3.87, 2 Ho 3.68
Dy: 0.1162 0.2325 0.3182  9 Pm 3.36-3.76, 1 Nd 3.75
Pm: 0.9832 0.9665 0.5229  2 Ho 3.27, 3 Dy 3.46-3.61
Dy: 0.1101 0.2203 0.7372  7 Pm 3.46-3.82, 1 Nd 3.46, 2 Ho 3.71

Calculated values
Final energy ... -4.555 eV per atom
Space group ... Cmc2_1 (36)
Spin magnetization ... 0.00 μB per formula unit
Crystal system ... orthorhombic

Record 5
A relaxed BaCdIn2Pt crystal. Source: the Alexandria database, functional PBE-GGA.

a = 5.2478 Å, b = 5.2478 Å, c = 6.1008 Å
α = 90.00°, β = 90.00°, γ = 90.00°
With the nearest neighbours (Å) after each atom.
Element x y z (fractional)
Pt: 0.0000 0.0000 0.0000  4 In 2.62
In: 0.0000 0.5000 0.0000  2 Pt 2.62
In: 0.5000 0.0000 0.0000  2 Pt 2.62
Ba: 0.0000 0.0000 0.5000  2 Pt 3.05
Cd: 0.5000 0.5000 0.5000  4 Ba 3.71, 8 In 4.02

Calculated values
Final energy ... -3.198 eV per atom
Space group ... P4/mmm (123)
Spin magnetization ... 0.00 μB per formula unit
Crystal system ... tetragonal

Record 6
A relaxed SiAsN2 crystal. Source: the Alexandria database, functional PBE-GGA.

a = 6.1358 Å, b = 6.1358 Å, c = 6.1358 Å
α = 26.84°, β = 26.84°, γ = 26.84°
With the nearest neighbours (Å) after each atom.
Element x y z (fractional)
N: 0.8871 0.8871 0.8871  3 Si 1.90, 1 As 2.00
As: 0.0000 0.0000 0.0000  2 N 2.00
Si: 0.5000 0.5000 0.5000  6 N 1.90
N: 0.1129 0.1129 0.1129  3 Si 1.90, 1 As 2.00

Calculated values
Final energy ... -6.847 eV per atom
Space group ... R-3m (166)
Spin magnetization ... 0.00 μB per formula unit
Formation energy from raw total energies ... -0.66 eV per formula unit
Crystal system ... trigonal

Record 7
A relaxed LaInPb2 crystal. Source: the Alexandria database, functional PBE-GGA.

a = 6.2017 Å, b = 6.2017 Å, c = 4.7718 Å
α = 67.38°, β = 67.38°, γ = 45.23°
With the nearest neighbours (Å) after each atom.
Element x y z (fractional)
La: 0.2495 0.2495 0.2503  8 Pb 3.37-3.53, 4 In 3.53
Pb: 0.7508 0.7508 0.7491  4 La 3.37, 4 Pb 3.52-3.54, 4 In 3.52-3.54
In: 0.5000 0.5000 0.5001  8 Pb 3.37-3.54, 4 La 3.53
Pb: 0.9998 0.9998 0.0005  4 In 3.37, 4 Pb 3.52-3.54, 4 La 3.53

Calculated values
Final energy ... -4.157 eV per atom
Space group ... Imm2 (44)
Spin magnetization ... 0.00 μB per formula unit
Crystal system ... orthorhombic

Record 8
A relaxed Nd2PaTeO8 crystal. Source: the Alexandria database, functional PBE-GGA.

a = 3.9610 Å, b = 5.5349 Å, c = 7.5636 Å
α = 90.00°, β = 90.00°, γ = 94.89°
With the nearest neighbours (Å) after each atom.
Element x y z (fractional)
Pa: 0.0000 0.0000 0.5000  6 O 2.15-2.34
O: 0.9607 0.2292 0.7578  1 Te 2.24, 1 Pa 2.34, 2 Nd 2.46-2.50
O: 0.5561 0.7749 0.0000  1 Te 2.07
O: 0.4439 0.2251 0.0000  1 Te 2.07
Nd: 0.4999 0.5000 0.7554  8 O 2.39-2.50
O: 0.0393 0.7708 0.2422  1 Te 2.24, 1 Pa 2.34, 2 Nd 2.46-2.50
Te: 0.0000 0.0000 0.0000  6 O 2.07-2.24
O: 0.9606 0.2287 0.2422  1 Te 2.24, 1 Pa 2.34, 2 Nd 2.46-2.50
O: 0.5362 0.7664 0.5000  1 Pa 2.15
O: 0.4638 0.2336 0.5000  1 Pa 2.15
Nd: 0.5001 0.5000 0.2446  8 O 2.39-2.50
O: 0.0394 0.7713 0.7578  1 Te 2.24, 1 Pa 2.34, 2 Nd 2.46-2.50

Calculated values
Final energy ... -7.836 eV per atom
Space group ... P2/m (10)
Spin magnetization ... 0.00 μB per formula unit
Formation energy from raw total energies ... -32.20 eV per formula unit
Crystal system ... monoclinic